VASP calculation (GGA-PBE) on a geometry-optimized La6Nd12Cd structure.

Computed properties:
As for the crystal system: trigonal. The energy of formation is 91 meV/atom. The value obtained for the density is 6.4 g/cm³. The value obtained for the calculated volume is 36.29 Å³/atom. Its total magnetic moment is 0.0 Bohr magnetons per cell. For the density of states at the Fermi level, the calculation gives 30.68 states/eV per cell.

Geometry as POSCAR:
```
La6Nd12Cd
1.0
6.7384 3.8904 4.3842
-6.7384 3.8904 4.3842
0.0000 -7.7809 4.3842
La Nd Cd
6 12 1
Direct
0.0925 0.3670 0.3628
0.3628 0.0925 0.3670
0.3670 0.3628 0.0925
0.6330 0.6372 0.9075
0.6372 0.9075 0.6330
0.9075 0.6330 0.6372
0.0841 0.0851 0.6709
0.0851 0.6709 0.0841
0.2400 0.4982 0.7602
0.2398 0.7600 0.5018
0.3291 0.9159 0.9149
0.4982 0.7602 0.2400
0.5018 0.2398 0.7600
0.6709 0.0841 0.0851
0.7602 0.2400 0.4982
0.7600 0.5018 0.2398
0.9149 0.3291 0.9159
0.9159 0.9149 0.3291
0.5000 0.5000 0.5000
```

=====

VASP calculation (GGA-PBE) on a geometry-optimized La3Nd5Cd2 structure.

Computed properties:
As for the crystal system: orthorhombic. The energy of formation is 97 meV/atom. The value obtained for the density is 6.4 g/cm³. The value obtained for the calculated volume is 35.15 Å³/atom. Its total magnetic moment is 0.0 Bohr magnetons per cell. For the density of states at the Fermi level, the calculation gives 30.67 states/eV per cell.

Geometry as POSCAR:
```
La3Nd5Cd2
1.0
-6.7483 7.6425 3.4080
6.7483 -7.6425 3.4080
6.7483 7.6425 -3.4080
La Nd Cd
6 10 4
Direct
0.2453 0.1194 0.3648
0.2500 0.2500 0.0000
0.2547 0.6194 0.8741
0.7453 0.3806 0.1259
0.7500 0.7500 0.0000
0.7547 0.8806 0.6352
0.1641 0.3772 0.5413
0.2500 0.5015 0.2515
0.2500 0.7500 0.5000
0.2500 0.9985 0.7485
0.3359 0.8772 0.2130
0.6641 0.1228 0.7870
0.7500 0.0015 0.2515
0.7500 0.2500 0.5000
0.7500 0.4985 0.7485
0.8359 0.6228 0.4587
0.1429 0.8680 0.0109
0.3571 0.3680 0.7251
0.6429 0.6320 0.2749
0.8571 0.1320 0.9891
```

=====

VASP calculation (GGA-PBE) on a geometry-optimized La7Nd2Cd2 structure.

Computed properties:
As for the crystal system: monoclinic. The energy of formation is 16 meV/atom. The value obtained for the density is 6.5 g/cm³. The value obtained for the calculated volume is 34.55 Å³/atom. Its total magnetic moment is 0.0 Bohr magnetons per cell. The calculation puts the excess energy over the best structure of this formula in the dataset at 22 meV per atom. For the density of states at the Fermi level, the calculation gives 15.32 states/eV per cell.

Geometry as POSCAR:
```
La7Nd2Cd2
1.0
4.5949 -5.1869 0.0000
4.5949 5.1869 0.0000
-1.5996 0.0000 7.9734
La Nd Cd
7 2 2
Direct
0.0000 0.0000 0.0000
0.0903 0.5282 0.8183
0.3355 0.3355 0.5147
0.4718 0.9097 0.1817
0.5282 0.0903 0.8183
0.6645 0.6645 0.4853
0.9097 0.4718 0.1817
0.1661 0.8339 0.5000
0.8339 0.1661 0.5000
0.3911 0.3911 0.1258
0.6089 0.6089 0.8742
```

=====

VASP calculation (GGA-PBE) on a geometry-optimized La4NdCd structure.

Computed properties:
As for the crystal system: orthorhombic. The energy of formation is -11 meV/atom. The value obtained for the density is 6.6 g/cm³. The value obtained for the calculated volume is 34.29 Å³/atom. Its total magnetic moment is 0.0 Bohr magnetons per cell. The calculation puts the excess energy over the best structure of this formula in the dataset at 96 meV per atom. For the density of states at the Fermi level, the calculation gives 16.21 states/eV per cell.

Geometry as POSCAR:
```
La4NdCd
1.0
2.9200 -10.5931 0.0000
2.9200 10.5931 0.0000
0.0000 0.0000 6.6512
La Nd Cd
8 2 2
Direct
0.0429 0.9571 0.5000
0.1902 0.8098 0.3474
0.2571 0.7429 0.7525
0.4413 0.5587 0.6856
0.5587 0.4413 0.1856
0.7429 0.2571 0.2525
0.8098 0.1902 0.8474
0.9571 0.0429 0.0000
0.3671 0.6329 0.1969
0.6329 0.3671 0.6969
0.1100 0.8900 0.9428
0.8900 0.1100 0.4428
```

=====

VASP calculation (GGA-PBE) on a geometry-optimized La5NdCd structure.

Computed properties:
As for the crystal system: monoclinic. The energy of formation is -6 meV/atom. The value obtained for the density is 6.5 g/cm³. The value obtained for the calculated volume is 34.98 Å³/atom. Its total magnetic moment is 0.0 Bohr magnetons per cell. The calculation puts the excess energy over the best structure of this formula in the dataset at 0 meV per atom. For the density of states at the Fermi level, the calculation gives 20.33 states/eV per cell.

Geometry as POSCAR:
```
La5NdCd
1.0
4.4574 -4.3962 0.0000
4.4574 4.3962 0.0000
-2.8584 0.0000 12.4940
La Nd Cd
10 2 2
Direct
0.0138 0.2890 0.5664
0.0315 0.3827 0.8638
0.1424 0.8576 0.7500
0.2890 0.0138 0.0664
0.3827 0.0315 0.3638
0.6173 0.9685 0.6362
0.7110 0.9862 0.9336
0.8576 0.1424 0.2500
0.9685 0.6173 0.1362
0.9862 0.7110 0.4336
0.4728 0.5272 0.2500
0.5272 0.4728 0.7500
0.5000 0.5000 0.0000
0.5000 0.5000 0.5000
```

=====

VASP calculation (GGA-PBE) on a geometry-optimized LaNd6Cd2 structure.

Computed properties:
As for the crystal system: monoclinic. The energy of formation is -71 meV/atom. The value obtained for the density is 7.0 g/cm³. The value obtained for the calculated volume is 32.31 Å³/atom. Its total magnetic moment is 0.0 Bohr magnetons per cell. The calculation puts the excess energy over the best structure of this formula in the dataset at 64 meV per atom. For the density of states at the Fermi level, the calculation gives 23.81 states/eV per cell.

Geometry as POSCAR:
```
LaNd6Cd2
1.0
7.9851 -5.8754 0.0000
7.9851 5.8754 0.0000
-0.7191 0.0000 6.1980
La Nd Cd
2 12 4
Direct
0.1089 0.8911 0.7500
0.8911 0.1089 0.2500
0.0310 0.7321 0.1919
0.1032 0.3533 0.3347
0.2679 0.9690 0.3081
0.3227 0.5610 0.4907
0.3533 0.1032 0.8347
0.4390 0.6773 0.0093
0.5610 0.3227 0.9907
0.6467 0.8968 0.1653
0.6773 0.4390 0.5093
0.7321 0.0310 0.6919
0.8968 0.6467 0.6653
0.9690 0.2679 0.8081
0.2090 0.4633 0.9047
0.4633 0.2090 0.4047
0.5367 0.7910 0.5953
0.7910 0.5367 0.0953
```

=====

VASP calculation (GGA-PBE) on a geometry-optimized La5Nd8Cd structure.

Computed properties:
As for the crystal system: monoclinic. The energy of formation is 98 meV/atom. The value obtained for the density is 6.5 g/cm³. The value obtained for the calculated volume is 35.92 Å³/atom. Its total magnetic moment is 0.0 Bohr magnetons per cell. For the density of states at the Fermi level, the calculation gives 20.65 states/eV per cell.

Geometry as POSCAR:
```
La5Nd8Cd
1.0
7.9199 -4.3404 0.0000
7.9199 4.3404 0.0000
-4.7943 0.0000 7.3151
La Nd Cd
5 8 1
Direct
0.0000 0.0000 0.0000
0.2233 0.5778 0.7614
0.4222 0.7767 0.2386
0.6134 0.2940 0.1662
0.7060 0.3866 0.8338
0.0665 0.5631 0.0593
0.0716 0.1789 0.5687
0.3823 0.2911 0.3752
0.4369 0.9335 0.9407
0.5337 0.0747 0.6850
0.7089 0.6177 0.6248
0.8211 0.9284 0.4313
0.9253 0.4663 0.3150
0.2705 0.7295 0.5000
```

=====

VASP calculation (GGA-PBE) on a geometry-optimized LaNd8Cd2 structure.

Computed properties:
As for the crystal system: monoclinic. The energy of formation is 79 meV/atom. The value obtained for the density is 6.8 g/cm³. The value obtained for the calculated volume is 33.51 Å³/atom. Its total magnetic moment is 0.0 Bohr magnetons per cell. For the density of states at the Fermi level, the calculation gives 12.68 states/eV per cell.

Geometry as POSCAR:
```
LaNd8Cd2
1.0
8.7166 -3.4994 0.0000
8.7166 3.4994 0.0000
-2.2600 0.0000 6.0427
La Nd Cd
1 8 2
Direct
0.0000 0.0000 0.0000
0.2040 0.6482 0.5901
0.2304 0.2304 0.3704
0.3518 0.7960 0.4099
0.3623 0.3623 0.0330
0.6377 0.6377 0.9670
0.6482 0.2040 0.5901
0.7696 0.7696 0.6296
0.7960 0.3518 0.4099
0.1596 0.1596 0.8155
0.8404 0.8404 0.1845
```

=====

VASP calculation (GGA-PBE) on a geometry-optimized La5Nd4Cd structure.

Computed properties:
As for the crystal system: tetragonal. The energy of formation is 23 meV/atom. The value obtained for the density is 6.6 g/cm³. The value obtained for the calculated volume is 34.95 Å³/atom. Its total magnetic moment is 0.0 Bohr magnetons per cell. For the density of states at the Fermi level, the calculation gives 18.17 states/eV per cell.

Geometry as POSCAR:
```
La5Nd4Cd
1.0
4.2798 0.0000 0.0000
0.0000 4.2798 0.0000
0.0000 0.0000 19.0810
La Nd Cd
5 4 1
Direct
0.0000 0.0000 0.0000
0.0000 0.0000 0.1984
0.0000 0.0000 0.4108
0.0000 0.0000 0.5892
0.0000 0.0000 0.8016
0.5000 0.5000 0.1018
0.5000 0.5000 0.2990
0.5000 0.5000 0.7010
0.5000 0.5000 0.8982
0.5000 0.5000 0.5000
```

=====

VASP calculation (GGA-PBE) on a geometry-optimized LaNd3Cd structure.

Computed properties:
As for the crystal system: orthorhombic. The energy of formation is 10 meV/atom. The value obtained for the density is 6.7 g/cm³. The value obtained for the calculated volume is 33.72 Å³/atom. Its total magnetic moment is 0.0 Bohr magnetons per cell. The calculation puts the excess energy over the best structure of this formula in the dataset at 119 meV per atom. For the density of states at the Fermi level, the calculation gives 23.80 states/eV per cell.

Geometry as POSCAR:
```
LaNd3Cd
1.0
5.7201 -8.4779 0.0000
5.7201 8.4779 0.0000
0.0000 0.0000 6.9532
La Nd Cd
4 12 4
Direct
0.0742 0.4258 0.2500
0.4258 0.0742 0.7500
0.5742 0.9258 0.2500
0.9258 0.5742 0.7500
0.0733 0.9267 0.8740
0.1834 0.3166 0.7500
0.2290 0.7710 0.1189
0.2710 0.7290 0.6189
0.3166 0.1834 0.2500
0.4267 0.5733 0.3740
0.5733 0.4267 0.6260
0.6834 0.8166 0.7500
0.7290 0.2710 0.3811
0.7710 0.2290 0.8811
0.8166 0.6834 0.2500
0.9267 0.0733 0.1260
0.0873 0.9127 0.4330
0.4127 0.5873 0.9330
0.5873 0.4127 0.0670
0.9127 0.0873 0.5670
```

=====

VASP calculation (GGA-PBE) on a geometry-optimized La2NdCd6 structure.

Computed properties:
As for the crystal system: hexagonal. The energy of formation is -364 meV/atom. The value obtained for the density is 7.6 g/cm³. The value obtained for the calculated volume is 26.59 Å³/atom. Its total magnetic moment is 0.5 Bohr magnetons per cell. For the density of states at the Fermi level, the calculation gives 7.91 states/eV per cell.

Geometry as POSCAR:
```
La2NdCd6
1.0
8.8860 0.0000 0.0000
-4.4430 7.6955 0.0000
0.0000 0.0000 3.4999
La Nd Cd
2 1 6
Direct
0.3333 0.6667 0.0000
0.6667 0.3333 0.0000
0.0000 0.0000 0.0000
0.0000 0.3315 0.5000
0.0000 0.6685 0.5000
0.3315 0.0000 0.5000
0.3315 0.3315 0.5000
0.6685 0.0000 0.5000
0.6685 0.6685 0.5000
```

=====

VASP calculation (GGA-PBE) on a geometry-optimized La2NdCd2 structure.

Computed properties:
As for the crystal system: orthorhombic. The energy of formation is -60 meV/atom. The value obtained for the density is 6.6 g/cm³. The value obtained for the calculated volume is 32.34 Å³/atom. Its total magnetic moment is 0.5 Bohr magnetons per cell. The calculation puts the excess energy over the best structure of this formula in the dataset at 204 meV per atom. For the density of states at the Fermi level, the calculation gives 16.50 states/eV per cell.

Geometry as POSCAR:
```
La2NdCd2
1.0
-4.3387 6.1065 3.0521
4.3387 -6.1065 3.0521
4.3387 6.1065 -3.0521
La Nd Cd
4 2 4
Direct
0.2160 0.1457 0.3617
0.2840 0.6457 0.9297
0.7160 0.3543 0.0703
0.7840 0.8543 0.6383
0.2500 0.7500 0.5000
0.7500 0.2500 0.5000
0.0550 0.8399 0.8949
0.4450 0.3399 0.7849
0.5550 0.6601 0.2151
0.9450 0.1601 0.1051
```

=====

- What is the formula in the ninth record?
  La5Nd4Cd

=====

Copy entry 12 word for word.
VASP calculation (GGA-PBE) on a geometry-optimized La2NdCd2 structure.

Computed properties:
As for the crystal system: orthorhombic. The energy of formation is -60 meV/atom. The value obtained for the density is 6.6 g/cm³. The value obtained for the calculated volume is 32.34 Å³/atom. Its total magnetic moment is 0.5 Bohr magnetons per cell. The calculation puts the excess energy over the best structure of this formula in the dataset at 204 meV per atom. For the density of states at the Fermi level, the calculation gives 16.50 states/eV per cell.

Geometry as POSCAR:
```
La2NdCd2
1.0
-4.3387 6.1065 3.0521
4.3387 -6.1065 3.0521
4.3387 6.1065 -3.0521
La Nd Cd
4 2 4
Direct
0.2160 0.1457 0.3617
0.2840 0.6457 0.9297
0.7160 0.3543 0.0703
0.7840 0.8543 0.6383
0.2500 0.7500 0.5000
0.7500 0.2500 0.5000
0.0550 0.8399 0.8949
0.4450 0.3399 0.7849
0.5550 0.6601 0.2151
0.9450 0.1601 0.1051
```

=====

- Look up the calculated volume of the fifth one.
  34.98 Å³/atom